(w)
Computed, not measured: a geometry-optimized FeCoTe2I structure at the PBE level of DFT.

Cell lengths 4.977, 4.977, 5.326 Å; angles 90.00, 90.00, 90.00 degrees
Each line ends with the local moment (μB).
Atoms (fractional coordinates):
1 I 0.000 0.000 0.500  0.05
2 Te 0.000 0.500 0.000  0.02
3 Te 0.500 0.000 0.000  0.02
4 Co 0.000 0.000 0.000  -0.31
5 Fe 0.500 0.500 0.500  3.35

N(E_F): 9.673 states/eV/f.u.


(x)
Computed, not measured: a geometry-optimized FeCoTe2I structure at the PBE level of DFT.

Cell lengths 4.892, 4.892, 5.597 Å; angles 90.00, 90.00, 90.00 degrees
Each line ends with the local moment (μB).
Atoms (fractional coordinates):
1 I 0.000 0.000 0.500  0.04
2 Te 0.000 0.500 0.000  0.04
3 Te 0.500 0.000 0.000  0.04
4 Co 0.500 0.500 0.500  2.16
5 Fe 0.000 0.000 0.000  0.05

N(E_F): 7.322 states/eV/f.u.


Name the least stable of them. (x).


(w)
Computed, not measured: a geometry-optimized FeCo2Ir structure at the PBE level of DFT.

Cell lengths 3.634, 3.634, 3.608 Å; angles 90.00, 90.00, 90.00 degrees
Each line ends with the local moment (μB).
Atoms (fractional coordinates):
1 Co 0.000 0.000 0.000  1.10
2 Co 0.500 0.500 0.000  1.10
3 Fe 0.500 0.000 0.500  2.41
4 Ir 0.000 0.500 0.500  0.23

N(E_F): 5.986 states/eV/f.u.


(x)
Computed, not measured: a geometry-optimized FeCo2Ir structure at the PBE level of DFT.

Cell lengths 4.137, 4.137, 4.137 Å; angles 60.00, 60.00, 60.00 degrees
Each line ends with the local moment (μB).
Atoms (fractional coordinates):
1 Co 0.000 0.000 0.000  1.91
2 Co 0.250 0.250 0.250  1.87
3 Fe 0.500 0.500 0.500  2.85
4 Ir 0.750 0.750 0.750  0.86

N(E_F): 6.426 states/eV/f.u.


(y)
Computed, not measured: a geometry-optimized FeCo2Ir structure at the PBE level of DFT.

Cell lengths 2.584, 2.584, 8.336 Å; angles 90.00, 90.00, 114.99 degrees
Each line ends with the local moment (μB).
Atoms (fractional coordinates):
1 Co 0.000 0.000 0.014  1.87
2 Co 0.000 0.000 0.486  1.87
3 Fe 0.500 0.500 0.250  2.74
4 Ir 0.500 0.500 0.750  0.69

N(E_F): 4.731 states/eV/f.u.


Name the least stable of them. (y).


(w)
Computed, not measured: a geometry-optimized FeCo2Ir structure at the PBE level of DFT.

Cell lengths 4.438, 4.438, 2.618 Å; angles 90.01, 90.01, 108.55 degrees
Each line ends with the local moment (μB).
Atoms (fractional coordinates):
1 Co 0.000 0.000 0.000  1.48
2 Co 0.500 0.500 0.000  1.48
3 Fe 0.500 0.000 0.500  2.80
4 Ir 0.000 0.500 0.500  0.36

N(E_F): 5.569 states/eV/f.u.


(x)
Computed, not measured: a geometry-optimized FeCo2Ir structure at the PBE level of DFT.

Cell lengths 2.625, 2.625, 7.049 Å; angles 90.00, 90.00, 90.00 degrees
Each line ends with the local moment (μB).
Atoms (fractional coordinates):
1 Co 0.000 0.000 0.017  1.56
2 Co 0.500 0.500 0.243  1.70
3 Fe 0.000 0.000 0.487  2.49
4 Ir 0.500 0.500 0.753  0.07

N(E_F): 5.102 states/eV/f.u.


Name the least stable of them. (x).